Entry 1:
The following is a PBE calculation of a relaxed structure of CaSm4Y, from Alexandria.

Output
Volume: 206.87 Å³/f.u.
Total moment: 0.000 μB per atom
E_form: 0.3 eV/f.u.

Lattice parameters (Å, degrees): 3.621 5.182 11.023 90.00 90.06 90.00
Sites, in units of the cell vectors:
Ca 0.000 0.000 0.000
Sm 0.001 0.000 0.661
Sm 0.499 0.500 0.181
Sm 0.501 0.500 0.819
Sm 0.999 0.000 0.339
Y 0.500 0.500 0.500

Entry 2:
The following is a PBE calculation of a relaxed structure of CaSmY6, from Alexandria.

Output
Volume: 274.93 Å³/f.u.
Total moment: 0.000 μB per atom
E_form: 1.8 eV/f.u.

Lattice parameters (Å, degrees): 6.652 6.755 6.760 113.88 94.78 94.21
Sites, in units of the cell vectors:
Ca 0.000 0.000 0.000
Sm 0.500 0.000 0.000
Y 0.261 0.590 0.590
Y 0.273 0.086 0.534
Y 0.274 0.534 0.086
Y 0.726 0.466 0.914
Y 0.727 0.914 0.466
Y 0.739 0.410 0.410

Entry 3:
The following is a PBE calculation of a relaxed structure of CaSm7Y4, from Alexandria.

Output
Volume: 405.69 Å³/f.u.
Total moment: 0.000 μB per atom
E_form: 0.3 eV/f.u.

Lattice parameters (Å, degrees): 6.329 7.311 9.015 89.94 76.53 89.99
Sites, in units of the cell vectors:
Ca 0.000 0.000 0.000
Sm 0.000 0.500 0.000
Sm 0.225 0.000 0.340
Sm 0.281 0.253 0.662
Sm 0.500 0.258 0.999
Sm 0.500 0.742 0.001
Sm 0.719 0.747 0.338
Sm 0.775 0.000 0.660
Y 0.220 0.499 0.332
Y 0.283 0.746 0.663
Y 0.717 0.254 0.337
Y 0.780 0.501 0.668

Entry 4:
The following is a PBE calculation of a relaxed structure of CaSm7Y2, from Alexandria.

Output
Volume: 340.07 Å³/f.u.
Total moment: 0.000 μB per atom
E_form: 0.4 eV/f.u.

Lattice parameters (Å, degrees): 6.284 6.301 9.633 70.92 71.02 80.35
Sites, in units of the cell vectors:
Ca 0.000 0.000 0.000
Sm 0.204 0.999 0.594
Sm 0.311 0.499 0.897
Sm 0.396 0.000 0.205
Sm 0.500 0.500 0.500
Sm 0.604 0.000 0.795
Sm 0.689 0.501 0.103
Sm 0.796 0.001 0.406
Y 0.100 0.493 0.303
Y 0.900 0.507 0.697

Entry 5:
The following is a PBE calculation of a relaxed structure of Ca2SmY, from Alexandria.

Output
Volume: 144.55 Å³/f.u.
Total moment: 0.000 μB per atom
E_form: 0.6 eV/f.u.

Lattice parameters (Å, degrees): 4.163 4.163 8.340 90.00 90.00 90.00
Sites, in units of the cell vectors:
Ca 0.000 0.000 0.247
Ca 0.000 0.000 0.753
Sm 0.500 0.500 0.500
Y 0.500 0.500 0.000

Entry 6:
The following is a PBE calculation of a relaxed structure of CaSm5Y4, from Alexandria.

Output
Volume: 338.23 Å³/f.u.
Total moment: 0.000 μB per atom
E_form: 0.3 eV/f.u.

Lattice parameters (Å, degrees): 3.623 3.623 25.771 90.00 90.00 90.00
Sites, in units of the cell vectors:
Ca 0.000 0.000 0.000
Sm 0.500 0.500 0.109
Sm 0.500 0.500 0.304
Sm 0.500 0.500 0.500
Sm 0.500 0.500 0.696
Sm 0.500 0.500 0.891
Y 0.000 0.000 0.204
Y 0.000 0.000 0.402
Y 0.000 0.000 0.598
Y 0.000 0.000 0.796

Entry 7:
The following is a PBE calculation of a relaxed structure of CaSm2Y, from Alexandria.

Output
Volume: 139.68 Å³/f.u.
Total moment: 0.000 μB per atom
E_form: 0.2 eV/f.u.

Lattice parameters (Å, degrees): 12.323 12.323 12.323 17.01 17.01 17.01
Sites, in units of the cell vectors:
Ca 0.000 0.000 0.000
Sm 0.246 0.246 0.246
Sm 0.422 0.422 0.422
Y 0.834 0.834 0.834

Entry 8:
The following is a PBE calculation of a relaxed structure of CaSm6Y2, from Alexandria.

Output
Volume: 306.25 Å³/f.u.
Total moment: 0.000 μB per atom
E_form: 0.3 eV/f.u.

Lattice parameters (Å, degrees): 7.277 9.619 9.636 68.97 79.10 78.95
Sites, in units of the cell vectors:
Ca 0.139 0.113 0.331
Ca 0.861 0.887 0.669
Sm 0.031 0.229 0.673
Sm 0.087 0.662 0.005
Sm 0.200 0.552 0.667
Sm 0.250 0.997 0.994
Sm 0.365 0.885 0.672
Sm 0.477 0.775 0.336
Sm 0.523 0.225 0.664
Sm 0.635 0.115 0.328
Sm 0.750 0.003 0.006
Sm 0.800 0.448 0.333
Sm 0.913 0.338 0.995
Sm 0.969 0.771 0.327
Y 0.307 0.448 0.334
Y 0.421 0.337 0.993
Y 0.579 0.663 0.007
Y 0.693 0.552 0.666

Entry 9:
The following is a PBE calculation of a relaxed structure of CaSm2Y9, from Alexandria.

Output
Volume: 398.32 Å³/f.u.
Total moment: 0.000 μB per atom
E_form: 0.6 eV/f.u.

Lattice parameters (Å, degrees): 5.104 5.104 15.287 90.00 90.00 90.00
Sites, in units of the cell vectors:
Ca 0.000 0.000 0.000
Sm 0.000 0.000 0.334
Sm 0.000 0.000 0.666
Y 0.000 0.500 0.173
Y 0.000 0.500 0.500
Y 0.000 0.500 0.827
Y 0.500 0.000 0.173
Y 0.500 0.000 0.500
Y 0.500 0.000 0.827
Y 0.500 0.500 0.000
Y 0.500 0.500 0.334
Y 0.500 0.500 0.666

Entry 10:
The following is a PBE calculation of a relaxed structure of CaSm4Y4, from Alexandria.

Output
Volume: 306.46 Å³/f.u.
Total moment: 0.000 μB per atom
E_form: 0.3 eV/f.u.

Lattice parameters (Å, degrees): 6.856 9.378 11.065 66.85 74.40 71.88
Sites, in units of the cell vectors:
Ca 0.110 0.140 0.186
Ca 0.890 0.860 0.814
Sm 0.118 0.143 0.848
Sm 0.229 0.530 0.038
Sm 0.447 0.804 0.739
Sm 0.449 0.804 0.408
Sm 0.551 0.196 0.592
Sm 0.553 0.196 0.261
Sm 0.771 0.470 0.962
Sm 0.882 0.857 0.152
Y 0.110 0.144 0.519
Y 0.219 0.530 0.370
Y 0.228 0.525 0.701
Y 0.441 0.801 0.077
Y 0.559 0.199 0.923
Y 0.772 0.475 0.299
Y 0.781 0.470 0.630
Y 0.890 0.856 0.481

Entry 11:
The following is a PBE calculation of a relaxed structure of CaSm3Y4, from Alexandria.

Output
Volume: 274.43 Å³/f.u.
Total moment: 0.000 μB per atom
E_form: 1.5 eV/f.u.

Lattice parameters (Å, degrees): 12.116 12.116 6.913 106.52 106.52 16.40
Sites, in units of the cell vectors:
Ca 0.000 0.000 0.000
Sm 0.258 0.258 0.261
Sm 0.500 0.500 0.500
Sm 0.742 0.742 0.739
Y 0.127 0.127 0.386
Y 0.127 0.127 0.866
Y 0.873 0.873 0.134
Y 0.873 0.873 0.614

Entry 12:
The following is a PBE calculation of a relaxed structure of CaSm6Y6, from Alexandria.

Output
Volume: 461.83 Å³/f.u.
Total moment: 0.184 μB per atom
E_form: 3.6 eV/f.u.

Lattice parameters (Å, degrees): 6.831 6.831 11.428 90.00 90.00 120.00
Sites, in units of the cell vectors:
Ca 0.000 0.000 0.000
Sm 0.000 0.000 0.348
Sm 0.000 0.000 0.652
Sm 0.333 0.667 0.000
Sm 0.333 0.667 0.500
Sm 0.667 0.333 0.000
Sm 0.667 0.333 0.500
Y 0.000 0.500 0.248
Y 0.000 0.500 0.752
Y 0.500 0.000 0.248
Y 0.500 0.000 0.752
Y 0.500 0.500 0.248
Y 0.500 0.500 0.752